[1]
The following is a PBE calculation of crystalline AcErCuSi at its relaxed geometry, from Alexandria.

Values from the calculation:
Its raw total energy is -4.8227 eV per atom. The calculation puts the uncorrected formation energy at -275 meV/atom.

Cell: 7.314 7.314 7.314 Å, 90.00 90.00 90.00°
Space group F-43m (No. 216)
Unique sites:
Ac1 0.000 0.000 0.000 [4 per cell]
Er1 0.000 0.000 0.500 [4 per cell]
Cu1 0.250 0.250 0.750 [4 per cell]
Si1 0.250 0.250 0.250 [4 per cell]

[2]
The following is a PBE calculation of crystalline Nd2FeSi5 at its relaxed geometry, from Alexandria.

Values from the calculation:
Its raw total energy is -6.0804 eV per atom. The calculation puts the uncorrected formation energy at -441 meV/atom.

Cell: 5.771 5.771 9.045 Å, 90.00 90.00 90.00°
Space group I4mm (No. 107)
Unique sites:
Nd1 0.000 0.500 0.000 [4 per cell]
Fe1 0.000 0.000 0.302 [2 per cell]
Si1 0.000 0.000 0.555 [2 per cell]
Si2 0.218 0.218 0.756 [8 per cell]

[3]
The following is a PBE calculation of crystalline LaMg2Sc at its relaxed geometry, from Alexandria.

Values from the calculation:
Its raw total energy is -3.6669 eV per atom. As for the formation enthalpy at 0 K: -0.055 eV/atom.

Cell: 3.678 3.678 7.985 Å, 90.00 90.00 90.00°
Space group P4/mmm (No. 123)
Unique sites:
La1 0.000 0.000 0.000 [1 per cell]
Mg1 0.500 0.500 0.284 [2 per cell]
Sc1 0.000 0.000 0.500 [1 per cell]

[4]
The following is a PBE calculation of crystalline YCuOs2 at its relaxed geometry, from Alexandria.

Values from the calculation:
The polymorph energy (0 for the lowest one) is 0.479 eV/atom. Its raw total energy is -7.6005 eV per atom. As for the formation enthalpy at 0 K: 0.654 eV/atom.

Cell: 6.428 6.428 6.428 Å, 90.00 90.00 90.00°
Space group Fm-3m (No. 225)
Unique sites:
Y1 0.000 0.000 0.000 [4 per cell]
Cu1 0.000 0.000 0.500 [4 per cell]
Os1 0.250 0.250 0.250 [8 per cell]

[5]
The following is a PBE calculation of crystalline Li3Co4S8 at its relaxed geometry, from Alexandria.

Values from the calculation:
Its raw total energy is -5.0931 eV per atom. The calculation puts the uncorrected formation energy at -614 meV/atom.

Cell: 6.7564 6.7564 18.7477 Å, 90.00 90.00 120.00°
Space group R3m (No. 160, hexagonal axes)
Unique sites:
Li1 0.0003 0.5002 0.0000 [9 per cell]
Co1 0.0000 0.0000 0.8575 [3 per cell]
Co2 0.0037 0.5018 0.8550 [9 per cell]
S1 0.0000 0.0000 0.1293 [3 per cell]
S2 0.0000 0.0000 0.5881 [3 per cell]
S3 0.9997 0.4999 0.5852 [9 per cell]
S4 0.1672 0.3344 0.4618 [9 per cell]

[6]
The following is a PBE calculation of crystalline Pr3Sb2Cl at its relaxed geometry, from Alexandria.

Values from the calculation:
Its raw total energy is -5.0396 eV per atom. The calculation puts the uncorrected formation energy at -968 meV/atom.

Cell: 5.975 9.948 12.225 Å, 90.00 90.00 90.00°
Space group Cmcm (No. 63)
Unique sites:
Pr1 0.000 0.003 0.250 [4 per cell]
Pr2 0.000 0.333 0.518 [8 per cell]
Sb1 0.000 0.000 0.000 [4 per cell]
Sb2 0.000 0.350 0.250 [4 per cell]
Cl1 0.000 0.312 0.750 [4 per cell]